1.
# PrEu2Ir, optimized geometry, DFT PBE-GGA
# Formation energy, meV per atom: 70
# E_tot, eV/f.u.: -33.91
data_PrEu2Ir
_cell_length_a 3.8494
_cell_length_b 3.8494
_cell_length_c 32.0225
_cell_angle_alpha 90.00
_cell_angle_beta 90.00
_cell_angle_gamma 120.00
_space_group_name_H-M_alt 'R -3 m'
_space_group_IT_number 166
_space_group_name_Hall '-R 3 2"'
loop_
_atom_site_label
_atom_site_type_symbol
_atom_site_fract_x
_atom_site_fract_y
_atom_site_fract_z
_atom_site_occupancy
Pr1 Pr 0.0000 0.0000 0.0000 1
Eu1 Eu 0.0000 0.0000 0.1119 1
Ir1 Ir 0.0000 0.0000 0.5000 1

2.
# PrEuIrRh, optimized geometry, DFT PBE-GGA
# Formation energy, meV per atom: -415
# E_tot, eV/f.u.: -32.93
data_PrEuIrRh
_cell_length_a 7.0816
_cell_length_b 7.0816
_cell_length_c 7.0816
_cell_angle_alpha 90.00
_cell_angle_beta 90.00
_cell_angle_gamma 90.00
_space_group_name_H-M_alt 'F -4 3 m'
_space_group_IT_number 216
_space_group_name_Hall 'F -4 2 3'
loop_
_atom_site_label
_atom_site_type_symbol
_atom_site_fract_x
_atom_site_fract_y
_atom_site_fract_z
_atom_site_occupancy
Pr1 Pr 0.0000 0.0000 0.0000 1
Eu1 Eu 0.0000 0.0000 0.5000 1
Ir1 Ir 0.2500 0.2500 0.2500 1
Rh1 Rh 0.2500 0.2500 0.7500 1

3.
# PrEuTlIr, optimized geometry, DFT PBE-GGA
# Formation energy, meV per atom: -303
# E_tot, eV/f.u.: -27.50
data_PrEuTlIr
_cell_length_a 7.4482
_cell_length_b 7.4482
_cell_length_c 7.4482
_cell_angle_alpha 90.00
_cell_angle_beta 90.00
_cell_angle_gamma 90.00
_space_group_name_H-M_alt 'F -4 3 m'
_space_group_IT_number 216
_space_group_name_Hall 'F -4 2 3'
loop_
_atom_site_label
_atom_site_type_symbol
_atom_site_fract_x
_atom_site_fract_y
_atom_site_fract_z
_atom_site_occupancy
Pr1 Pr 0.0000 0.0000 0.0000 1
Eu1 Eu 0.0000 0.0000 0.5000 1
Tl1 Tl 0.2500 0.2500 0.2500 1
Ir1 Ir 0.2500 0.2500 0.7500 1

4.
# EuPuIrPt, optimized geometry, DFT PBE-GGA
# Formation energy, meV per atom: -549
# E_tot, eV/f.u.: -41.70
data_EuPuIrPt
_cell_length_a 7.0008
_cell_length_b 7.0008
_cell_length_c 7.0008
_cell_angle_alpha 90.00
_cell_angle_beta 90.00
_cell_angle_gamma 90.00
_space_group_name_H-M_alt 'F -4 3 m'
_space_group_IT_number 216
_space_group_name_Hall 'F -4 2 3'
loop_
_atom_site_label
_atom_site_type_symbol
_atom_site_fract_x
_atom_site_fract_y
_atom_site_fract_z
_atom_site_occupancy
Eu1 Eu 0.0000 0.0000 0.0000 1
Pu1 Pu 0.0000 0.0000 0.5000 1
Ir1 Ir 0.2500 0.2500 0.2500 1
Pt1 Pt 0.2500 0.2500 0.7500 1